Computed, not measured: a relaxed structure of Pr3AuCCl at the GGA-PBE level of DFT.

```
12
Lattice="7.592 0.000 0.000 0.000 3.972 0.000 -0.637 0.000 9.972" Properties=species:S:1:pos:R:3 pbc="T T T"
Pr 0.356 0.993 1.954
Pr 1.095 2.979 5.087
Pr 2.324 0.993 7.965
Pr 4.631 2.979 2.008
Pr 5.859 0.993 4.885
Pr 6.599 2.979 8.018
Au 3.012 0.993 3.728
Au 3.943 2.979 6.244
C 0.114 0.993 6.835
C 6.841 2.979 3.137
Cl 1.991 2.979 0.047
Cl 4.963 0.993 9.925
```

- Crystal system: monoclinic
- Final energy: -5.54 eV per atom
- E_form (uncorrected): -760 meV per atom


Computed, not measured: a relaxed structure of AuCSCl2 at the GGA-PBE level of DFT.

```
5
Lattice="5.228 0.000 0.000 0.000 5.228 0.000 0.000 0.000 3.499" Properties=species:S:1:pos:R:3 pbc="T T T"
Au 0.000 0.000 0.000
C 2.614 2.614 1.749
S 2.614 2.614 0.000
Cl 0.000 2.614 1.749
Cl 2.614 0.000 1.749
```

- Crystal system: tetragonal
- ΔE to the lowest computed polymorph: 0.0 meV/atom
- Final energy: -2.92 eV per atom
- E_form (uncorrected): 1148 meV per atom


Q: Which density of states at the Fermi level values were calculated for the entries above? A: 0.92, 0.78, in states/eV per atom.
Q: Which calculated volume values were calculated for the entries above? A: 25.06, 19.13, in Å³ per atom.
Q: Which total moment values were calculated for the entries above? A: 0.00, 0.00, in μB per formula unit.